# 1
## LiTcPd (PBE-GGA)

Data for LiTcPd after structural relaxation.

Geometry as POSCAR:
```
LiTcPd
1.0
-11.844 -1.322 8.736
-4.499 -3.057 4.136
6.093 2.278 -2.093
Tc Pd Li
2 2 2
direct
0.670 0.717 0.283
0.931 0.307 0.693
0.182 0.706 0.294
0.729 0.334 0.666
0.457 0.262 0.738
0.215 0.339 0.661
```

Output
Total DFT energy (no corrections) in eV per atom: -5.855
Symmetry: Cm (8)
ΔE to the lowest computed polymorph in eV per atom: 0.087
Energy relative to the elements in meV/atom: -31

=====

# 2
## LiTcPd (PBE-GGA)

Data for LiTcPd after structural relaxation.

Geometry as POSCAR:
```
LiTcPd
1.0
3.884 -2.242 0.000
0.000 4.485 0.000
0.000 0.000 2.550
Tc Pd Li
1 1 1
direct
0.000 0.000 0.000
0.333 0.667 0.000
0.667 0.333 0.500
```

Output
Total DFT energy (no corrections) in eV per atom: -5.601
Symmetry: P-6m2 (187)
ΔE to the lowest computed polymorph in eV per atom: 0.341
Energy relative to the elements in meV/atom: 223